Below is crystalline Y3Al2Ni6 at its relaxed geometry, with properties calculated at the PBEsol level.

Lattice parameters (Å, degrees): 7.6219 7.6219 7.6219 109.47 109.47 109.47
Fractional coordinates of all 22 atoms:
Ni 0.6644 0.3287 0.6644
Al 0.0000 0.5000 0.0000
Al 0.5000 0.5000 0.5000
Y 0.7082 0.0000 0.7082
Ni 0.6713 0.3356 0.3356
Ni 0.6644 0.0000 0.3356
Y 0.0000 0.7082 0.7082
Ni 0.3287 0.6644 0.6644
Ni 0.3356 0.6713 0.3356
Ni 0.3356 0.6644 0.0000
Y 0.2918 0.2918 0.0000
Al 0.5000 0.0000 0.0000
Ni 0.6644 0.3356 0.0000
Ni 0.0000 0.3356 0.6644
Ni 0.6644 0.6644 0.3287
Ni 0.0000 0.6644 0.3356
Y 0.7082 0.7082 0.0000
Y 0.0000 0.2918 0.2918
Al 0.0000 0.0000 0.5000
Y 0.2918 0.0000 0.2918
Ni 0.3356 0.0000 0.6644
Ni 0.3356 0.3356 0.6713

## Properties
space group	Im-3m, No. 229
calculated formation energy	-563	meV/atom

***

Below is crystalline SiBPCl2 at its relaxed geometry, with properties calculated at the PBEsol level.

Lattice parameters (Å, degrees): 4.5098 4.5098 4.7366 90.00 90.00 90.00
Fractional coordinates of all 5 atoms:
P 0.0000 0.0000 0.5000
Cl 0.0000 0.5000 0.0000
Si 0.0000 0.0000 0.0000
B 0.5000 0.5000 0.5000
Cl 0.5000 0.0000 0.0000

## Properties
space group	P4/mmm, No. 123
formation energy without anion corrections	0.9702	eV/atom

***

Below is crystalline CaAl2Ir at its relaxed geometry, with properties calculated at the PBEsol level.

Lattice parameters (Å, degrees): 4.5689 4.5708 4.5689 119.99 90.00 119.99
Fractional coordinates of all 4 atoms:
Ca 0.5000 0.0000 0.5000
Al 0.0000 0.0000 0.0000
Al 0.7500 0.5000 0.2500
Ir 0.2500 0.5000 0.7500

## Properties
space group	F-43m, No. 216
calculated formation energy	-202	meV/atom

***

Below is crystalline CrFe2Se at its relaxed geometry, with properties calculated at the PBEsol level.

Lattice parameters (Å, degrees): 3.4979 3.4979 4.4285 113.26 113.26 90.00
Fractional coordinates of all 4 atoms:
Cr 0.2500 0.7500 0.5000
Fe 0.7500 0.2500 0.5000
Fe 0.0000 0.0000 0.0000
Se 0.5000 0.5000 0.0000

## Properties
space group	I-4m2, No. 119
formation energy without anion corrections	0.2662	eV/atom
distance to the lowest polymorph of the same formula	29	meV/atom

***

Below is crystalline Mg3Se4 at its relaxed geometry, with properties calculated at the PBEsol level.

Lattice parameters (Å, degrees): 5.3573 5.3573 5.3573 90.00 90.00 90.00
Fractional coordinates of all 7 atoms:
Se 0.0000 0.0000 0.0000
Mg 0.0000 0.5000 0.0000
Se 0.0000 0.5000 0.5000
Mg 0.5000 0.0000 0.0000
Mg 0.0000 0.0000 0.5000
Se 0.5000 0.0000 0.5000
Se 0.5000 0.5000 0.0000

## Properties
space group	Pm-3m, No. 221
formation energy without anion corrections	-0.8202	eV/atom

***

Below is crystalline TlTe2Cl at its relaxed geometry, with properties calculated at the PBEsol level.

Lattice parameters (Å, degrees): 3.2322 3.2322 9.8397 90.00 90.00 90.00
Fractional coordinates of all 4 atoms:
Te 0.0000 0.0000 0.2712
Te 0.0000 0.0000 0.7288
Cl 0.5000 0.5000 0.5000
Tl 0.5000 0.5000 0.0000

## Properties
space group	P4/mmm, No. 123
formation energy without anion corrections	0.0134	eV/atom
distance to the lowest polymorph of the same formula	146	meV/atom

***

Below is crystalline NiSn3Pt at its relaxed geometry, with properties calculated at the PBEsol level.

Lattice parameters (Å, degrees): 4.7817 4.7817 4.7817 90.00 90.00 90.00
Fractional coordinates of all 5 atoms:
Pt 0.5000 0.5000 0.5000
Ni 0.0000 0.0000 0.0000
Sn 0.0000 0.0000 0.5000
Sn 0.0000 0.5000 0.0000
Sn 0.5000 0.0000 0.0000

## Properties
space group	Pm-3m, No. 221
distance to the lowest polymorph of the same formula	0	meV/atom
calculated formation energy	226	meV/atom

***

Below is crystalline Gd2HfO5 at its relaxed geometry, with properties calculated at the PBEsol level.

Lattice parameters (Å, degrees): 3.7500 10.6568 11.5412 90.00 90.00 90.00
Fractional coordinates of all 32 atoms:
Gd 0.7500 0.6235 0.7737
O 0.7500 0.9896 0.3490
O 0.7500 0.7475 0.2668
Gd 0.2500 0.3765 0.2263
O 0.2500 0.2673 0.0530
O 0.2500 0.7376 0.1089
O 0.7500 0.4986 0.6047
O 0.7500 0.9986 0.8953
Gd 0.2500 0.8765 0.2737
Hf 0.2500 0.8340 0.6111
Gd 0.7500 0.6307 0.4389
O 0.2500 0.0104 0.6510
O 0.7500 0.7327 0.9470
O 0.7500 0.2475 0.2332
O 0.2500 0.0014 0.1047
Gd 0.7500 0.1307 0.0611
O 0.7500 0.4896 0.1510
Gd 0.2500 0.3693 0.5611
O 0.7500 0.7624 0.6089
O 0.2500 0.5014 0.3953
O 0.2500 0.5104 0.8490
Gd 0.7500 0.1235 0.7263
Hf 0.7500 0.6660 0.1111
O 0.2500 0.7525 0.7668
Gd 0.2500 0.8693 0.9389
O 0.2500 0.2525 0.7332
O 0.7500 0.2624 0.8911
Hf 0.2500 0.3340 0.8889
O 0.2500 0.7673 0.4470
O 0.2500 0.2376 0.3911
O 0.7500 0.2327 0.5530
Hf 0.7500 0.1660 0.3889

## Properties
space group	Pnma, No. 62
formation energy without anion corrections	-3.5199	eV/atom
distance to the lowest polymorph of the same formula	0	meV/atom

***

What is the formula in the sixth record?
TlTe2Cl